# 1
This record from Alexandria via LeMat-Bulk describes a geometry-optimized Ni2AgMo2 structure. The functional is GGA-PBE.

Cell and atoms, written as POSCAR:
```
Ni2AgMo2
1.0
7.295 0.000 0.000
0.000 7.295 0.000
0.000 0.000 2.697
Ni Mo Ag
4 4 2
Direct
0.380 0.880 0.000
0.880 0.620 0.000
0.620 0.120 0.000
0.120 0.380 0.000
0.173 0.673 0.500
0.673 0.827 0.500
0.827 0.327 0.500
0.327 0.173 0.500
0.000 0.000 0.000
0.500 0.500 0.000
```

Properties
Uncorrected energy in eV per atom: -6.992
Symmetry: P4/mbm
Formation enthalpy at 0 K in kJ/mol of atoms: 21.5
Energy above the most stable polymorph in this dataset in meV per atom: 0
Fermi-level density of states in states/eV per atom: 0.7022

---

# 2
This record from Alexandria via LeMat-Bulk describes a geometry-optimized NiAg2Mo structure. The functional is GGA-PBE.

Cell and atoms, written as POSCAR:
```
NiAg2Mo
1.0
5.161 0.012 0.000
-2.423 4.557 0.000
0.000 0.000 2.673
Ag Mo Ni
2 1 1
Direct
0.000 0.000 0.000
0.500 0.500 0.000
0.500 0.000 0.500
0.000 0.500 0.500
```

Properties
Uncorrected energy in eV per atom: -5.013
Symmetry: Cmmm
Formation enthalpy at 0 K in kJ/mol of atoms: 54.6
Energy above the most stable polymorph in this dataset in meV per atom: 364
Fermi-level density of states in states/eV per atom: 1.1986

---

# 3
This record from Alexandria via LeMat-Bulk describes a geometry-optimized NiAgMo structure. The functional is GGA-PBE.

Cell and atoms, written as POSCAR:
```
NiAgMo
1.0
-0.116 -0.431 -2.720
-2.269 -0.284 1.538
-1.493 6.604 -0.982
Ag Mo Ni
1 1 1
Direct
0.000 0.000 0.987
0.667 0.333 0.359
0.333 0.667 0.654
```

Properties
Uncorrected energy in eV per atom: -6.172
Symmetry: P3m1
Formation enthalpy at 0 K in kJ/mol of atoms: 30.4
Energy above the most stable polymorph in this dataset in meV per atom: 90
Fermi-level density of states in states/eV per atom: 1.4799

---

# 4
This record from Alexandria via LeMat-Bulk describes a geometry-optimized NiAg2Mo structure. The functional is GGA-PBE.

Cell and atoms, written as POSCAR:
```
NiAg2Mo
1.0
-1.688 3.746 -2.974
-4.980 0.922 0.283
3.778 -0.551 3.339
Ag Mo Ni
2 1 1
Direct
0.000 0.000 0.000
0.500 0.500 0.000
0.250 0.750 0.500
0.750 0.250 0.500
```

Properties
Uncorrected energy in eV per atom: -4.958
Symmetry: I4/mmm
Formation enthalpy at 0 K in kJ/mol of atoms: 59.9
Energy above the most stable polymorph in this dataset in meV per atom: 420
Fermi-level density of states in states/eV per atom: 1.6763

---

# 5
This record from Alexandria via LeMat-Bulk describes a geometry-optimized NiAgMo structure. The functional is GGA-PBE.

Cell and atoms, written as POSCAR:
```
NiAgMo
1.0
-0.016 1.648 -6.018
2.214 0.085 -5.833
-1.345 -2.061 -1.180
Ag Mo Ni
1 1 1
Direct
0.007 0.007 0.993
0.318 0.318 0.682
0.675 0.675 0.325
```

Properties
Uncorrected energy in eV per atom: -6.262
Symmetry: I4mm
Formation enthalpy at 0 K in kJ/mol of atoms: 21.8
Energy above the most stable polymorph in this dataset in meV per atom: 0
Fermi-level density of states in states/eV per atom: 0.5895

---

# 6
This record from Alexandria via LeMat-Bulk describes a geometry-optimized NiAgMo structure. The functional is GGA-PBE.

Cell and atoms, written as POSCAR:
```
NiAgMo
1.0
-0.179 -4.850 -0.538
3.308 -2.464 -2.613
-0.938 2.991 3.744
Ag Mo Ni
1 1 1
Direct
0.003 0.003 0.000
0.317 0.317 0.000
0.680 0.680 0.000
```

Properties
Uncorrected energy in eV per atom: -6.097
Symmetry: Imm2
Formation enthalpy at 0 K in kJ/mol of atoms: 37.7
Energy above the most stable polymorph in this dataset in meV per atom: 165
Fermi-level density of states in states/eV per atom: 0.6448

---

# 7
This record from Alexandria via LeMat-Bulk describes a geometry-optimized NiAg2Mo structure. The functional is GGA-PBE.

Cell and atoms, written as POSCAR:
```
NiAg2Mo
1.0
-2.999 1.647 -4.423
0.222 -2.677 -4.905
-1.174 0.175 5.465
Ag Mo Ni
2 1 1
Direct
0.019 0.019 0.000
0.481 0.481 0.000
0.750 0.250 0.500
0.250 0.750 0.500
```

Properties
Uncorrected energy in eV per atom: -5.086
Symmetry: Immm
Formation enthalpy at 0 K in kJ/mol of atoms: 47.6
Energy above the most stable polymorph in this dataset in meV per atom: 292
Fermi-level density of states in states/eV per atom: 1.2817

---

# 8
This record from Alexandria via LeMat-Bulk describes a geometry-optimized NiAg2Mo structure. The functional is GGA-PBE.

Cell and atoms, written as POSCAR:
```
NiAg2Mo
1.0
4.446 -0.064 0.000
0.068 4.446 0.000
-2.257 -2.191 3.143
Ag Mo Ni
2 1 1
Direct
0.000 0.000 0.000
0.250 0.750 0.500
0.500 0.500 0.000
0.750 0.250 0.500
```

Properties
Uncorrected energy in eV per atom: -5.020
Symmetry: F-43m
Formation enthalpy at 0 K in kJ/mol of atoms: 53.9
Energy above the most stable polymorph in this dataset in meV per atom: 358
Fermi-level density of states in states/eV per atom: 0.4273

---

Look up the uncorrected energy of the eighth one.
-5.020 eV per atom